# TaGaW

Crystalline TaGaW at its relaxed geometry (PBE-GGA, Alexandria via LeMat-Bulk).

The structure in POSCAR format:
```
TaGaW
1.0
-0.0041 2.0871 1.8365
-4.5283 -0.3376 0.3735
2.7001 -2.4213 2.7578
W Ga Ta
1 1 1
Direct
0.0157 0.3333 0.6667
0.2995 0.0000 0.0000
0.6848 0.6667 0.3333
```

Calculated values
ΔE_f: 0.0349 eV/atom
total DFT energy (no corrections): -27.73 eV/cell
density of states at the Fermi level: 0.21 states/eV/atom
theoretical density: 14.436 g/cm³

# Na3Li2MnH9

Crystalline Na3Li2MnH9 at its relaxed geometry (PBE-GGA, Alexandria via LeMat-Bulk).

The structure in POSCAR format:
```
Na3Li2MnH9
1.0
5.2238 0.0000 0.0000
-2.6119 4.5240 0.0000
0.0000 0.0000 6.4061
Li H Na Mn
2 9 3 1
Direct
0.3333 0.6667 0.1463
0.6667 0.3333 0.8537
0.8491 0.1509 0.6456
0.1509 0.8491 0.3544
0.1509 0.3018 0.3544
0.5000 0.5000 0.0000
0.5000 0.0000 0.0000
0.6982 0.8491 0.3544
0.0000 0.5000 0.0000
0.8491 0.6982 0.6456
0.3018 0.1509 0.6456
0.3333 0.6667 0.7114
0.0000 0.0000 0.0000
0.6667 0.3333 0.2886
0.0000 0.0000 0.5000
```

Calculated values
total DFT energy (no corrections): -49.06 eV/cell
theoretical density: 1.611 g/cm³

# Co2WAu

Crystalline Co2WAu at its relaxed geometry (PBE-GGA, Alexandria via LeMat-Bulk).

The structure in POSCAR format:
```
Co2WAu
1.0
-0.5962 0.2665 2.8820
0.3708 -2.9112 0.3459
6.1993 0.9317 1.1964
Co Au W
2 1 1
Direct
0.5000 0.5000 0.2166
0.0000 0.0000 0.0499
0.5000 0.5000 0.7746
0.0000 0.0000 0.4589
```

Calculated values
ΔE_f: 0.2745 eV/atom
total DFT energy (no corrections): -29.34 eV/cell
density of states at the Fermi level: 0.85 states/eV/atom
theoretical density: 14.859 g/cm³